Material: Ba2TeAs
Method: DFT, PBE
State: optimized geometry

The structure belongs to space group C2/m (No. 12); the cell edges are 8.3372, 4.8196 and 8.7427 Å and the angles 90.00°, 108.58° and 90.00°. The distinct sites, in fractional coordinates, are Ba at (0.2472, 0.0000, 0.2420), Te at (0.0000, 0.0000, 0.5000) and As at (0.0000, 0.5000, 0.0000).

The value obtained for the electronic total energy is -0.304 Ry/atom. As for the energy above the most stable polymorph in this dataset: 0.003 eV per atom. The value obtained for the density of states at the Fermi level is 1.083 states/eV per atom. As for the raw formation energy: -1.23 eV per atom.

Material: Co2SbS
Method: DFT, PBE
State: optimized geometry

The structure belongs to space group I-42d (No. 122); the cell edges are 4.7104, 4.7104 and 12.5455 Å and the angles 90.00°, 90.00° and 90.00°. The distinct sites, in fractional coordinates, are Co at (0.1597, 0.2500, 0.1250), Sb at (0.0000, 0.0000, 0.5000) and S at (0.0000, 0.0000, 0.0000).

The value obtained for the electronic total energy is -0.417 Ry/atom. The value obtained for the density of states at the Fermi level is 0.572 states/eV per atom. As for the raw formation energy: -0.06 eV per atom.

Material: Sr6AlGa2
Method: DFT, PBE
State: optimized geometry

The structure belongs to space group Immm (No. 71); the cell edges are 10.7493, 10.9696 and 11.6651 Å and the angles 90.00°, 90.00° and 90.00°. The distinct sites, in fractional coordinates, are Sr at (0.0000, 0.1855, 0.2483), Sr at (0.1858, 0.5000, 0.3361), Sr at (0.2284, 0.3243, 0.0000), Al at (0.0000, 0.0000, 0.0000), Al at (0.0000, 0.0000, 0.5000), Ga at (0.0000, 0.3203, 0.5000) and Ga at (0.0000, 0.5000, 0.1090).

The value obtained for the electronic total energy is -0.177 Ry/atom. The value obtained for the density of states at the Fermi level is 1.242 states/eV per atom. The value obtained for the calculated formation energy is -0.195 eV per atom.

Material: As2PtCl
Method: DFT, PBE
State: optimized geometry

The structure belongs to space group C2/m (No. 12); the cell edges are 6.8760, 4.0002 and 7.4822 Å and the angles 90.00°, 108.14° and 90.00°. The distinct sites, in fractional coordinates, are As at (0.1141, 0.0000, 0.3493), Pt at (0.0000, 0.5000, 0.5000) and Cl at (0.0000, 0.0000, 0.0000).

The value obtained for the electronic total energy is -0.342 Ry/atom. As for the energy above the most stable polymorph in this dataset: 0.000 eV per atom. The value obtained for the density of states at the Fermi level is 0.271 states/eV per atom. As for the raw formation energy: -0.35 eV per atom.

Material: HfBiS
Method: DFT, PBE
State: optimized geometry

The structure belongs to space group P3m1 (No. 156); the cell edges are 3.5776, 3.5776 and 7.3757 Å and the angles 90.00°, 90.00° and 120.00°. The distinct sites, in fractional coordinates, are Hf at (0.0000, 0.0000, 0.0000), Bi at (0.3333, 0.6667, 0.6786) and S at (0.6667, 0.3333, 0.1908).

The value obtained for the electronic total energy is -0.503 Ry/atom. As for the energy above the most stable polymorph in this dataset: 0.000 eV per atom. The value obtained for the density of states at the Fermi level is 0.513 states/eV per atom. As for the raw formation energy: -0.86 eV per atom.

Material: Tl3In4Sn2
Method: DFT, PBE
State: optimized geometry

The structure belongs to space group C2/m (No. 12); the cell edges are 9.3245, 5.3854 and 10.2293 Å and the angles 90.00°, 90.03° and 90.00°. The distinct sites, in fractional coordinates, are Tl at (0.0000, 0.0000, 0.0000), Tl at (0.1664, 0.5000, 0.4461), In at (0.0006, 0.0000, 0.6678), In at (0.1663, 0.5000, 0.1122) and Sn at (0.1672, 0.5000, 0.7864).

The value obtained for the electronic total energy is -0.211 Ry/atom. The value obtained for the density of states at the Fermi level is 0.337 states/eV per atom. The value obtained for the calculated formation energy is 0.020 eV per atom.